Below is a relaxed structure of ReTc2W, with properties calculated at the PBEsol level. Values from VASP.

The structure in Quantum ESPRESSO input format:
```
&SYSTEM
  ibrav = 0, nat = 4, ntyp = 3
/
ATOMIC_SPECIES
Re 186.21 Re.upf
Tc 98.00 Tc.upf
W 183.84 W.upf
CELL_PARAMETERS angstrom
2.7557 0.0000 0.0000
0.0000 4.7383 0.0188
0.0000 -1.5516 4.4771
ATOMIC_POSITIONS angstrom
Re 1.3779 1.5934 2.2480
Tc 0.0000 2.3692 0.0094
Tc 0.0000 -0.7758 2.2386
W 1.3779 0.0000 0.0000
```

Values from the calculation:
- Distance to the lowest polymorph of the same formula: 0 meV/atom
- Energy of formation: 0.13 eV/atom
- Magnetic moment: 0.00 μB per cell